1.
Compound: BeB5
Source: Alexandria via LeMat-Bulk
Functional: PBE
Structure: optimized geometry

Output
magnetization = 0.000 μB/atom
DFT formation energy = 607 kJ/mol of formula units
space-group type = Cmmm
D(E_F) = 0.929 states/eV/f.u.

Unit cell a=2.8542 b=2.9260 c=4.7257 alpha=108.03 beta=90.00 gamma=90.00
With the nearest neighbours (Å) after each atom.
Fractional coordinates of all 6 atoms:
B1 0.5000 0.5000 0.0000  8 B 1.95-2.16, 4 Be 2.04
B2 0.0000 0.6474 0.2947  8 B 1.95-2.13, 2 Be 1.97
B3 0.5000 0.1773 0.3547  10 B 1.96-2.16, 2 Be 2.14
B4 0.0000 0.3526 0.7053  8 B 1.95-2.13, 2 Be 1.97
B5 0.5000 0.8227 0.6453  10 B 1.96-2.16, 2 Be 2.14
Be1 0.0000 0.0000 0.0000  12 B 1.97-2.14

=====

2.
Compound: Ga2GeAu3
Source: Alexandria via LeMat-Bulk
Functional: PBE
Structure: optimized geometry

Output
magnetization = 0.000 μB/atom
DFT formation energy = -57 kJ/mol of formula units
space-group type = P2_1/m
D(E_F) = 2.247 states/eV/f.u.

Unit cell a=4.0422 b=6.6683 c=8.6797 alpha=91.63 beta=90.00 gamma=90.00
With the nearest neighbours (Å) after each atom.
Fractional coordinates of all 12 atoms:
Au1 0.7500 0.8075 0.3346  5 Ga 2.62-2.74, 1 Ge 2.83
Au2 0.2500 0.2635 0.0132  3 Ga 2.59-2.76, 3 Ge 2.66-2.69
Au3 0.7500 0.7365 0.9868  3 Ga 2.59-2.76, 3 Ge 2.66-2.69
Au4 0.7500 0.5608 0.6189  2 Ge 2.69, 3 Ga 2.77-2.92, 3 Au 2.98-3.00
Au5 0.2500 0.1925 0.6654  5 Ga 2.62-2.74, 1 Ge 2.83
Au6 0.2500 0.4392 0.3811  2 Ge 2.69, 3 Ga 2.77-2.92, 3 Au 2.98-3.00
Ga1 0.2500 0.8262 0.5480  6 Au 2.62-2.92
Ga2 0.7500 0.1738 0.4520  6 Au 2.62-2.92
Ga3 0.2500 0.9252 0.1522  5 Au 2.59-2.76
Ga4 0.7500 0.0748 0.8478  5 Au 2.59-2.76
Ge1 0.7500 0.4297 0.1763  6 Au 2.66-2.83, 1 Ga 2.98
Ge2 0.2500 0.5703 0.8237  6 Au 2.66-2.83, 1 Ga 2.98

=====

3.
Compound: Pm2Mg3Cd12Ag
Source: Alexandria via LeMat-Bulk
Functional: PBE
Structure: optimized geometry

Output
magnetization = 0.000 μB/atom
DFT formation energy = -66 kJ/mol of formula units
space-group type = R-3m
D(E_F) = 9.045 states/eV/f.u.

Unit cell a=13.8616 b=13.8616 c=13.8616 alpha=26.35 beta=26.35 gamma=26.35
With the nearest neighbours (Å) after each atom.
Fractional coordinates of all 18 atoms:
Cd1 0.4019 0.4019 0.8700  4 Cd 2.96-2.97, 2 Mg 2.99
Cd2 0.1213 0.1213 0.6043  1 Ag 2.78, 4 Cd 2.97-3.05
Cd3 0.6043 0.1213 0.1213  1 Ag 2.78, 4 Cd 2.97-3.05
Cd4 0.8787 0.3957 0.8787  1 Ag 2.78, 4 Cd 2.97-3.05
Cd5 0.8787 0.8787 0.3957  1 Ag 2.78, 4 Cd 2.97-3.05
Cd6 0.1300 0.5981 0.5981  4 Cd 2.96-2.97, 2 Mg 2.99
Cd7 0.8700 0.4019 0.4019  4 Cd 2.96-2.97, 2 Mg 2.99
Cd8 0.1213 0.6043 0.1213  1 Ag 2.78, 4 Cd 2.97-3.05
Cd9 0.5981 0.5981 0.1300  4 Cd 2.96-2.97, 2 Mg 2.99
Cd10 0.3957 0.8787 0.8787  1 Ag 2.78, 4 Cd 2.97-3.05
Cd11 0.4019 0.8700 0.4019  4 Cd 2.96-2.97, 2 Mg 2.99
Cd12 0.5981 0.1300 0.5981  4 Cd 2.96-2.97, 2 Mg 2.99
Mg1 0.5000 0.0000 0.0000  4 Cd 2.99, 4 Mg 3.16
Mg2 0.0000 0.5000 0.0000  4 Cd 2.99, 4 Mg 3.16
Mg3 0.0000 0.0000 0.5000  4 Cd 2.99, 4 Mg 3.16
Pm1 0.3585 0.3585 0.3585  9 Cd 3.32-3.53
Pm2 0.6415 0.6415 0.6415  9 Cd 3.32-3.53
Ag1 0.0000 0.0000 0.0000  6 Cd 2.78

=====

4.
Compound: MnPd3Au
Source: Alexandria via LeMat-Bulk
Functional: PBE
Structure: optimized geometry

Output
magnetization = 0.953 μB/atom
energy above the most stable polymorph in this dataset = 0 meV per atom
DFT formation energy = -90 kJ/mol of formula units
space-group type = P-1
D(E_F) = 2.448 states/eV/f.u.

Unit cell a=4.8401 b=4.8301 c=7.4966 alpha=84.40 beta=71.13 gamma=72.18
With the nearest neighbours (Å) after each atom.
Fractional coordinates of all 10 atoms:
Au1 0.0554 0.8442 0.6079  9 Pd 2.79-2.85, 3 Mn 2.85-2.87
Au2 0.3558 0.3446 0.0066  9 Pd 2.79-2.85, 3 Mn 2.85-2.87
Mn1 0.5582 0.3442 0.6024  9 Pd 2.77-2.83, 3 Au 2.85-2.87
Mn2 0.8528 0.8444 0.0123  9 Pd 2.77-2.83, 3 Au 2.85-2.87
Pd1 0.1547 0.3443 0.4087  2 Mn 2.78, 3 Au 2.80-2.85, 7 Pd 2.81-2.85
Pd2 0.7567 0.3442 0.2048  3 Mn 2.77-2.82, 2 Au 2.80, 7 Pd 2.82-2.85
Pd3 0.6544 0.8446 0.4097  3 Mn 2.77-2.82, 2 Au 2.80, 7 Pd 2.82-2.85
Pd4 0.2564 0.8446 0.2058  2 Mn 2.78, 3 Au 2.80-2.85, 7 Pd 2.81-2.85
Pd5 0.4548 0.8444 0.8088  4 Au 2.79-2.81, 4 Pd 2.82-2.85, 4 Mn 2.82-2.83
Pd6 0.9563 0.3445 0.8057  4 Au 2.79-2.81, 4 Pd 2.82-2.85, 4 Mn 2.82-2.83

=====

5.
Compound: SrCa2H
Source: Alexandria via LeMat-Bulk
Functional: PBE
Structure: optimized geometry

Output
magnetization = 0.000 μB/atom
energy above the most stable polymorph in this dataset = 0 meV per atom
space-group type = I-42d
D(E_F) = 0.813 states/eV/f.u.

Unit cell a=7.3382 b=7.3382 c=7.3432 alpha=60.02 beta=60.02 gamma=90.00
With the nearest neighbours (Å) after each atom.
Fractional coordinates of all 8 atoms:
H1 0.2500 0.7500 0.5000  4 Ca 2.25
H2 0.5000 0.5000 0.0000  4 Ca 2.25
Ca1 0.3740 0.6250 0.2500  2 H 2.25
Ca2 0.3750 0.6240 0.7500  2 H 2.25
Ca3 0.8750 0.6260 0.7500  2 H 2.25
Ca4 0.3760 0.1250 0.2500  2 H 2.25
Sr1 0.0000 0.0000 0.0000  12 Ca 4.30-4.31, 4 H 4.50, 4 Sr 4.50
Sr2 0.7500 0.2500 0.5000  12 Ca 4.30-4.31, 4 H 4.50, 4 Sr 4.50

=====

6.
Compound: PmSbTe4
Source: Alexandria via LeMat-Bulk
Functional: PBE
Structure: optimized geometry

Output
magnetization = 0.000 μB/atom
space-group type = P2_1/m
D(E_F) = 2.407 states/eV/f.u.
raw formation energy = -455 meV/atom

Unit cell a=6.4365 b=8.6163 c=10.4529 alpha=90.00 beta=90.00 gamma=120.61
With the nearest neighbours (Å) after each atom.
Fractional coordinates of all 12 atoms:
Te1 0.9585 0.6385 0.4422  1 Te 2.96, 1 Sb 2.99, 2 Pm 3.21-3.26
Te2 0.5883 0.7094 0.7500  1 Sb 2.79
Te3 0.0415 0.3615 0.5578  1 Te 2.96, 1 Sb 2.99, 2 Pm 3.21-3.26
Te4 0.4117 0.2906 0.2500  1 Sb 2.79
Te5 0.9585 0.6385 0.0578  1 Te 2.96, 1 Sb 2.99, 2 Pm 3.21-3.26
Te6 0.0415 0.3615 0.9422  1 Te 2.96, 1 Sb 2.99, 2 Pm 3.21-3.26
Te7 0.6327 0.9311 0.2500  1 Sb 2.75
Te8 0.3673 0.0689 0.7500  1 Sb 2.75
Pm1 0.0448 0.6530 0.7500  7 Te 3.09-3.28
Pm2 0.9552 0.3470 0.2500  7 Te 3.09-3.28
Sb1 0.9439 0.0746 0.7500  4 Te 2.75-2.99
Sb2 0.0561 0.9254 0.2500  4 Te 2.75-2.99

=====

7.
Compound: Cu5Sn3Br12
Source: Alexandria via LeMat-Bulk
Functional: PBE
Structure: optimized geometry

Output
magnetization = 0.048 μB/atom
space-group type = Ia-3d
D(E_F) = 14.800 states/eV/f.u.
raw formation energy = -452 meV/atom

Unit cell a=14.1510 b=14.1510 c=14.1510 alpha=109.47 beta=109.47 gamma=109.47
With the nearest neighbours (Å) after each atom.
Fractional coordinates of all 80 atoms:
Br1 0.0272 0.4076 0.8204  2 Cu 2.44-2.66
Br2 0.4128 0.2932 0.3204  2 Cu 2.44-2.66
Br3 0.9728 0.3805 0.2932  2 Cu 2.44-2.66
Br4 0.2068 0.5272 0.6195  2 Cu 2.44-2.66
Br5 0.5272 0.3204 0.9076  2 Cu 2.44-2.66
Br6 0.6796 0.2068 0.5872  2 Cu 2.44-2.66
Br7 0.9728 0.5924 0.1796  2 Cu 2.44-2.66
Br8 0.4076 0.3805 0.5872  2 Cu 2.44-2.66
Br9 0.7068 0.5872 0.1796  2 Cu 2.44-2.66
Br10 0.9128 0.0924 0.6195  2 Cu 2.44-2.66
Br11 0.8805 0.2932 0.4728  2 Cu 2.44-2.66
Br12 0.3204 0.5272 0.4076  2 Cu 2.44-2.66
Br13 0.8204 0.9128 0.2932  2 Cu 2.44-2.66
Br14 0.4728 0.6796 0.0924  2 Cu 2.44-2.66
Br15 0.0272 0.6195 0.7068  2 Cu 2.44-2.66
Br16 0.1796 0.0924 0.9728  2 Cu 2.44-2.66
Br17 0.2068 0.6796 0.0872  2 Cu 2.44-2.66
Br18 0.5272 0.2068 0.1195  2 Cu 2.44-2.66
Br19 0.7068 0.1195 0.0272  2 Cu 2.44-2.66
Br20 0.2932 0.8805 0.9728  2 Cu 2.44-2.66
Br21 0.9128 0.8204 0.7932  2 Cu 2.44-2.66
Br22 0.6195 0.5924 0.9128  2 Cu 2.44-2.66
Br23 0.4728 0.7932 0.8805  2 Cu 2.44-2.66
Br24 0.1195 0.4128 0.0924  2 Cu 2.44-2.66
Br25 0.5924 0.9728 0.6796  2 Cu 2.44-2.66
Br26 0.8204 0.9076 0.0272  2 Cu 2.44-2.66
Br27 0.5872 0.7068 0.6796  2 Cu 2.44-2.66
Br28 0.9076 0.0872 0.8805  2 Cu 2.44-2.66
Br29 0.3805 0.4076 0.0872  2 Cu 2.44-2.66
Br30 0.7932 0.3204 0.9128  2 Cu 2.44-2.66
Br31 0.6195 0.0272 0.2068  2 Cu 2.44-2.66
Br32 0.9076 0.8204 0.5272  2 Cu 2.44-2.66
Br33 0.2932 0.4128 0.8204  2 Cu 2.44-2.66
Br34 0.0924 0.1796 0.4728  2 Cu 2.44-2.66
Br35 0.5872 0.8805 0.4076  2 Cu 2.44-2.66
Br36 0.1195 0.7068 0.5272  2 Cu 2.44-2.66
Br37 0.0924 0.9128 0.1195  2 Cu 2.44-2.66
Br38 0.6796 0.4728 0.5924  2 Cu 2.44-2.66
Br39 0.0872 0.9076 0.3805  2 Cu 2.44-2.66
Br40 0.3204 0.7932 0.4128  2 Cu 2.44-2.66
Br41 0.3805 0.9728 0.7932  2 Cu 2.44-2.66
Br42 0.8805 0.5872 0.9076  2 Cu 2.44-2.66
Br43 0.7932 0.4728 0.3805  2 Cu 2.44-2.66
Br44 0.1796 0.0872 0.7068  2 Cu 2.44-2.66
Br45 0.5924 0.6195 0.4128  2 Cu 2.44-2.66
Br46 0.4076 0.0272 0.3204  2 Cu 2.44-2.66
Br47 0.0872 0.1796 0.2068  2 Cu 2.44-2.66
Br48 0.4128 0.1195 0.5924  2 Cu 2.44-2.66
Sn1 0.6250 0.2500 0.3750  8 Br 3.16-3.21
Sn2 0.7500 0.3750 0.1250  8 Br 3.16-3.21
Sn3 0.6250 0.3750 0.7500  8 Br 3.16-3.21
Sn4 0.8750 0.7500 0.1250  8 Br 3.16-3.21
Sn5 0.7500 0.8750 0.6250  8 Br 3.16-3.21
Sn6 0.1250 0.2500 0.8750  8 Br 3.16-3.21
Sn7 0.1250 0.8750 0.7500  8 Br 3.16-3.21
Sn8 0.2500 0.6250 0.8750  8 Br 3.16-3.21
Sn9 0.3750 0.7500 0.6250  8 Br 3.16-3.21
Sn10 0.3750 0.6250 0.2500  8 Br 3.16-3.21
Sn11 0.8750 0.1250 0.2500  8 Br 3.16-3.21
Sn12 0.2500 0.1250 0.3750  8 Br 3.16-3.21
Cu1 0.0000 0.0000 0.0000  6 Br 2.66
Cu2 0.7500 0.6250 0.3750  4 Br 2.44
Cu3 0.8750 0.6250 0.7500  4 Br 2.44
Cu4 0.0000 0.5000 0.0000  6 Br 2.66
Cu5 0.5000 0.0000 0.5000  6 Br 2.66
Cu6 0.6250 0.8750 0.2500  4 Br 2.44
Cu7 0.5000 0.0000 0.0000  6 Br 2.66
Cu8 0.2500 0.3750 0.6250  4 Br 2.44
Cu9 0.0000 0.5000 0.5000  6 Br 2.66
Cu10 0.8750 0.2500 0.6250  4 Br 2.44
Cu11 0.6250 0.7500 0.8750  4 Br 2.44
Cu12 0.7500 0.1250 0.8750  4 Br 2.44
Cu13 0.0000 0.0000 0.5000  6 Br 2.66
Cu14 0.5000 0.5000 0.5000  6 Br 2.66
Cu15 0.5000 0.5000 0.0000  6 Br 2.66
Cu16 0.3750 0.2500 0.1250  4 Br 2.44
Cu17 0.3750 0.1250 0.7500  4 Br 2.44
Cu18 0.2500 0.8750 0.1250  4 Br 2.44
Cu19 0.1250 0.3750 0.2500  4 Br 2.44
Cu20 0.1250 0.7500 0.3750  4 Br 2.44

=====

8.
Compound: PrPuPa2As4
Source: Alexandria via LeMat-Bulk
Functional: PBE
Structure: optimized geometry

Output
magnetization = 0.789 μB/atom
DFT formation energy = -892 kJ/mol of formula units
space-group type = I-4m2
D(E_F) = 15.625 states/eV/f.u.

Unit cell a=5.8765 b=5.8765 c=7.2031 alpha=114.07 beta=114.07 gamma=90.00
With the nearest neighbours (Å) after each atom.
Fractional coordinates of all 8 atoms:
Pu1 0.7500 0.2500 0.5000  6 As 2.94-2.98
Pa1 0.0000 0.0000 0.0000  6 As 2.87-2.94
Pa2 0.2500 0.7500 0.5000  6 As 2.91-2.94
As1 0.4972 0.9972 0.9944  3 Pa 2.91-2.94, 2 Pr 2.94, 1 Pu 2.98
As2 0.0028 0.5028 0.0056  3 Pa 2.91-2.94, 2 Pr 2.94, 1 Pu 2.98
As3 0.7563 0.7563 0.5126  3 Pa 2.87-2.94, 2 Pu 2.94, 1 Pr 3.02
As4 0.2437 0.2437 0.4874  3 Pa 2.87-2.94, 2 Pu 2.94, 1 Pr 3.02
Pr1 0.5000 0.5000 0.0000  6 As 2.94-3.02